Here is a relaxed structure of Pr2Hf2O5 from OQMD. Energies are from PBE.

```
Pr2Hf2O5
1.0
9.876 0.000 0.000
0.000 3.892 0.000
0.000 0.000 3.892
O Hf Pr
5 2 2
direct
0.638 0.500 0.000 O
0.362 0.000 0.500 O
0.638 0.000 0.500 O
0.362 0.500 0.000 O
0.500 0.500 0.500 O
0.500 0.000 0.000 Hf
0.000 0.000 0.000 Hf
0.252 0.500 0.500 Pr
0.748 0.500 0.500 Pr
```

Calculated values
Size of the total moment in Bohr magnetons per cell: 3.06
Polymorph energy (0 for the lowest one) in eV/atom: 1.2179
Total energy in eV per atom: -7.661

Here is a relaxed structure of Hf31PtO64 from OQMD. Energies are from PBE.

```
Hf31PtO64
1.0
10.021 0.000 0.000
0.065 10.081 0.000
0.027 0.033 10.459
Hf O Pt
31 64 1
direct
0.134 0.231 0.361 Hf
0.133 0.730 0.358 Hf
0.628 0.983 0.643 Hf
0.131 0.980 0.143 Hf
0.864 0.731 0.610 Hf
0.634 0.731 0.358 Hf
0.865 0.980 0.891 Hf
0.635 0.232 0.360 Hf
0.365 0.730 0.105 Hf
0.134 0.229 0.858 Hf
0.632 0.483 0.642 Hf
0.368 0.229 0.610 Hf
0.865 0.979 0.393 Hf
0.639 0.982 0.143 Hf
0.867 0.481 0.392 Hf
0.628 0.734 0.860 Hf
0.868 0.230 0.608 Hf
0.368 0.235 0.115 Hf
0.866 0.730 0.107 Hf
0.635 0.483 0.141 Hf
0.133 0.481 0.141 Hf
0.366 0.478 0.892 Hf
0.134 0.479 0.642 Hf
0.366 0.481 0.392 Hf
0.364 0.730 0.607 Hf
0.136 0.732 0.853 Hf
0.133 0.979 0.639 Hf
0.868 0.485 0.890 Hf
0.867 0.233 0.108 Hf
0.641 0.235 0.856 Hf
0.367 0.981 0.390 Hf
0.464 0.658 0.941 O
0.774 0.108 0.757 O
0.273 0.096 0.766 O
0.966 0.409 0.557 O
0.727 0.856 0.493 O
0.964 0.663 0.940 O
0.963 0.662 0.441 O
0.732 0.359 0.991 O
0.229 0.355 0.994 O
0.528 0.916 0.815 O
0.271 0.351 0.743 O
0.966 0.159 0.442 O
0.773 0.856 0.243 O
0.228 0.607 0.007 O
0.466 0.915 0.064 O
0.537 0.912 0.308 O
0.770 0.606 0.258 O
0.771 0.357 0.242 O
0.034 0.912 0.308 O
0.729 0.109 0.008 O
0.730 0.606 0.508 O
0.535 0.665 0.691 O
0.967 0.910 0.058 O
0.029 0.909 0.806 O
0.270 0.107 0.260 O
0.465 0.660 0.439 O
0.038 0.163 0.191 O
0.464 0.412 0.560 O
0.231 0.355 0.493 O
0.228 0.606 0.507 O
0.539 0.165 0.692 O
0.466 0.162 0.441 O
0.763 0.858 0.743 O
0.040 0.163 0.692 O
0.772 0.106 0.258 O
0.268 0.856 0.236 O
0.233 0.108 0.012 O
0.231 0.857 0.482 O
0.465 0.181 0.937 O
0.035 0.661 0.191 O
0.730 0.857 0.994 O
0.536 0.412 0.309 O
0.772 0.359 0.740 O
0.963 0.909 0.559 O
0.271 0.357 0.244 O
0.251 0.842 0.723 O
0.966 0.159 0.943 O
0.730 0.106 0.509 O
0.731 0.356 0.492 O
0.232 0.106 0.511 O
0.036 0.411 0.309 O
0.464 0.413 0.061 O
0.964 0.413 0.059 O
0.767 0.609 0.759 O
0.239 0.857 0.981 O
0.537 0.162 0.192 O
0.271 0.606 0.257 O
0.031 0.654 0.692 O
0.536 0.665 0.189 O
0.271 0.600 0.757 O
0.462 0.913 0.559 O
0.036 0.409 0.809 O
0.538 0.415 0.809 O
0.729 0.608 0.008 O
0.374 0.004 0.915 Pt
```

Calculated values
Size of the total moment in Bohr magnetons per cell: 0.01
Polymorph energy (0 for the lowest one) in eV/atom: 0.0280
Total energy in eV per atom: -9.998